Record 1
CaV3Os | PBE | optimized geometry

Calculated values
E_form	1100.7	kJ/mol of formula units
E above lowest polymorph	1549.6	meV per atom
spin magnetization	0.001	μB/cell

Cell: 4.2571 4.2571 4.2571 Å, 90.00 90.00 90.00°
Closest atoms and distances in Å follow each position.
Space group Pm-3m (No. 221)
Unique sites:
Ca (0.0000, 0.0000, 0.0000) (multiplicity 1)  6 V 2.13
V (0.0000, 0.0000, 0.5000) (multiplicity 3)  2 Ca 2.13
Os (0.5000, 0.5000, 0.5000) (multiplicity 1)  12 V 3.01

***

Record 2
Ca3VOs | PBE | optimized geometry

Calculated values
E_form	776.4	kJ/mol of formula units
E above lowest polymorph	708.2	meV per atom
spin magnetization	6.283	μB/cell

Cell: 5.3740 5.3740 5.3740 Å, 90.00 90.00 90.00°
Closest atoms and distances in Å follow each position.
Space group Pm-3m (No. 221)
Unique sites:
Ca (0.0000, 0.0000, 0.5000) (multiplicity 3)  2 V 2.69
V (0.0000, 0.0000, 0.0000) (multiplicity 1)  6 Ca 2.69
Os (0.5000, 0.5000, 0.5000) (multiplicity 1)  12 Ca 3.80

***

Record 3
CaVOs2 | PBE | optimized geometry

Calculated values
E_form	162.1	kJ/mol of formula units
E above lowest polymorph	0.0	meV per atom
spin magnetization	0.001	μB/cell

Cell: 6.3276 6.3276 6.3276 Å, 90.00 90.00 90.00°
Closest atoms and distances in Å follow each position.
Space group Fm-3m (No. 225)
Unique sites:
Ca (0.0000, 0.0000, 0.0000) (multiplicity 4)  8 Os 2.74
V (0.0000, 0.0000, 0.5000) (multiplicity 4)  8 Os 2.74
Os (0.2500, 0.2500, 0.2500) (multiplicity 8)  4 Ca 2.74, 4 V 2.74

***

Record 4
CaVOs2 | PBE | optimized geometry

Calculated values
E_form	255.9	kJ/mol of formula units
E above lowest polymorph	242.9	meV per atom
spin magnetization	0.000	μB/cell

Cell: 7.2581 7.2581 5.5212 Å, 90.00 90.00 90.00°
Closest atoms and distances in Å follow each position.
Space group I-42d (No. 122)
Unique sites:
Ca (0.0000, 0.0000, 0.0000) (multiplicity 4)  2 V 2.76, 4 Os 2.95
V (0.0000, 0.0000, 0.5000) (multiplicity 4)  4 Os 2.40
Os (0.1940, 0.2500, 0.6250) (multiplicity 8)  2 V 2.40

***

Going through the records in order, we get theoretical density values of 8.2, 3.9, 12.4, 10.8 g/cm3.